A plane-wave DFT calculation with GGA+U was carried out for a relaxed Ga2CoAsO6 crystal.

Calculated values
Electronic total energy ... -5.902 eV/atom

a = 11.3918 Å, b = 7.2918 Å, c = 5.5319 Å
α = 90.00°, β = 99.57°, γ = 90.00°
With the nearest neighbours (Å) after each atom.
Space group C2/c (No. 15)
Asymmetric unit:
Ga  0.2333  0.1290  0.2886 [8 per cell]  5 O 1.90-2.10
Co  0.0000  0.3977  0.2500 [4 per cell]  4 O 1.86-1.94
As  0.0000  0.1989  0.7500 [4 per cell]  4 O 1.90-2.08
O  0.0904  0.2294  0.1057 [8 per cell]  1 Co 1.86, 1 Ga 1.91, 1 As 2.08
O  0.0898  0.3964  0.6529 [8 per cell]  1 As 1.90, 1 Co 1.94, 1 Ga 2.00
O  0.2112  0.1016  0.6191 [8 per cell]  3 Ga 1.90-2.10